(1)
Entry from Alexandria via LeMat-Bulk: a relaxed Ho2ZrSe4 crystal (PBE-GGA).

Crystal system   monoclinic
Formation energy without anion corrections   -1.62 eV/atom
Size of the total moment   0.00 Bohr magnetons per cell

Cell lengths 14.614, 4.011, 7.126 Å; angles 90.00, 119.15, 90.00 degrees
Fractional positions:
Ho 0.241 0.000 0.254
Ho 0.259 0.500 0.746
Ho 0.741 0.500 0.254
Ho 0.759 0.000 0.746
Zr 0.000 0.500 0.500
Zr 0.500 0.000 0.500
Se 0.117 0.500 0.295
Se 0.125 0.000 0.783
Se 0.375 0.500 0.217
Se 0.383 0.000 0.705
Se 0.617 0.000 0.295
Se 0.625 0.500 0.783
Se 0.875 0.000 0.217
Se 0.883 0.500 0.705

(2)
Entry from Alexandria via LeMat-Bulk: a relaxed HoZr2Se4 crystal (PBE-GGA).

Crystal system   orthorhombic
Formation energy without anion corrections   -1.40 eV/atom
Size of the total moment   0.00 Bohr magnetons per cell

Cell lengths 6.551, 6.551, 13.812 Å; angles 90.00, 90.00, 146.65 degrees
Fractional positions:
Ho 0.105 0.895 0.750
Ho 0.895 0.105 0.250
Zr 0.351 0.649 0.559
Zr 0.351 0.649 0.941
Zr 0.649 0.351 0.059
Zr 0.649 0.351 0.441
Se 0.000 0.000 0.000
Se 0.000 0.000 0.500
Se 0.287 0.713 0.127
Se 0.287 0.713 0.373
Se 0.439 0.561 0.750
Se 0.561 0.439 0.250
Se 0.713 0.287 0.627
Se 0.713 0.287 0.873

(3)
Entry from Alexandria via LeMat-Bulk: a relaxed HoZrSe2 crystal (PBE-GGA).

Crystal system   trigonal
Formation energy without anion corrections   -1.39 eV/atom
Size of the total moment   0.00 Bohr magnetons per cell
Distance to the lowest polymorph of the same formula   0.0 meV/atom

Cell lengths 3.776, 3.776, 21.559 Å; angles 90.00, 90.00, 120.00 degrees
Fractional positions:
Ho 0.000 0.000 0.000
Ho 0.333 0.667 0.667
Ho 0.667 0.333 0.333
Zr 0.000 0.000 0.829
Zr 0.333 0.667 0.496
Zr 0.667 0.333 0.163
Se 0.000 0.000 0.244
Se 0.000 0.000 0.418
Se 0.333 0.667 0.085
Se 0.333 0.667 0.911
Se 0.667 0.333 0.578
Se 0.667 0.333 0.752

(4)
Entry from Alexandria via LeMat-Bulk: a relaxed HoZr2Se6 crystal (PBE-GGA).

Crystal system   tetragonal
Formation energy without anion corrections   -1.23 eV/atom
Size of the total moment   0.00 Bohr magnetons per cell

Cell lengths 6.528, 6.528, 11.938 Å; angles 90.00, 90.00, 90.00 degrees
Fractional positions:
Ho 0.000 0.000 0.000
Ho 0.500 0.500 0.500
Zr 0.000 0.000 0.335
Zr 0.000 0.000 0.665
Zr 0.500 0.500 0.165
Zr 0.500 0.500 0.835
Se 0.195 0.195 0.500
Se 0.205 0.205 0.176
Se 0.205 0.205 0.824
Se 0.295 0.705 0.324
Se 0.295 0.705 0.676
Se 0.305 0.695 0.000
Se 0.695 0.305 0.000
Se 0.705 0.295 0.324
Se 0.705 0.295 0.676
Se 0.795 0.795 0.176
Se 0.795 0.795 0.824
Se 0.805 0.805 0.500

(5)
Entry from Alexandria via LeMat-Bulk: a relaxed HoZrSe2 crystal (PBE-GGA).

Crystal system   trigonal
Formation energy without anion corrections   -1.06 eV/atom
Size of the total moment   0.00 Bohr magnetons per cell
Distance to the lowest polymorph of the same formula   326.0 meV/atom

Cell lengths 3.740, 3.740, 26.866 Å; angles 90.00, 90.00, 120.00 degrees
Fractional positions:
Ho 0.000 0.000 0.000
Ho 0.333 0.667 0.667
Ho 0.667 0.333 0.333
Zr 0.000 0.000 0.500
Zr 0.333 0.667 0.167
Zr 0.667 0.333 0.833
Se 0.000 0.000 0.105
Se 0.000 0.000 0.895
Se 0.333 0.667 0.562
Se 0.333 0.667 0.771
Se 0.667 0.333 0.229
Se 0.667 0.333 0.438

(6)
Entry from Alexandria via LeMat-Bulk: a relaxed Ho3Si5 crystal (PBE-GGA).

Crystal system   orthorhombic
Formation energy without anion corrections   -0.67 eV/atom
Size of the total moment   0.00 Bohr magnetons per cell

Cell lengths 10.746, 7.246, 8.874 Å; angles 82.96, 42.01, 55.03 degrees
Fractional positions:
Ho 0.000 0.000 0.000
Ho 0.250 0.250 0.250
Ho 0.340 0.670 0.323
Ho 0.582 0.927 0.580
Ho 0.670 0.340 0.668
Ho 0.927 0.582 0.910
Si 0.055 0.764 0.297
Si 0.183 0.491 0.988
Si 0.262 0.912 0.067
Si 0.366 0.953 0.486
Si 0.441 0.441 0.559
Si 0.491 0.183 0.338
Si 0.691 0.691 0.809
Si 0.764 0.055 0.884
Si 0.912 0.262 0.759
Si 0.953 0.366 0.195

(7)
Entry from Alexandria via LeMat-Bulk: a relaxed HoSi6 crystal (PBE-GGA).

Crystal system   cubic
Formation energy without anion corrections   0.21 eV/atom
Size of the total moment   0.00 Bohr magnetons per cell

Cell lengths 6.647, 6.647, 6.647 Å; angles 90.00, 90.00, 90.00 degrees
Fractional positions:
Ho 0.000 0.000 0.000
Ho 0.500 0.500 0.500
Si 0.000 0.250 0.500
Si 0.000 0.500 0.250
Si 0.000 0.500 0.750
Si 0.000 0.750 0.500
Si 0.250 0.000 0.500
Si 0.250 0.500 0.000
Si 0.500 0.000 0.250
Si 0.500 0.000 0.750
Si 0.500 0.250 0.000
Si 0.500 0.750 0.000
Si 0.750 0.000 0.500
Si 0.750 0.500 0.000

(8)
Entry from Alexandria via LeMat-Bulk: a relaxed Ho5Si4 crystal (PBE-GGA).

Crystal system   orthorhombic
Formation energy without anion corrections   -0.75 eV/atom
Size of the total moment   0.00 Bohr magnetons per cell

Cell lengths 7.398, 14.502, 7.657 Å; angles 90.00, 90.00, 90.00 degrees
Fractional positions:
Ho 0.029 0.098 0.183
Ho 0.029 0.402 0.183
Ho 0.148 0.750 0.512
Ho 0.183 0.123 0.680
Ho 0.183 0.377 0.680
Ho 0.317 0.623 0.180
Ho 0.317 0.877 0.180
Ho 0.352 0.250 0.012
Ho 0.471 0.598 0.683
Ho 0.471 0.902 0.683
Ho 0.529 0.098 0.317
Ho 0.529 0.402 0.317
Ho 0.648 0.750 0.988
Ho 0.683 0.123 0.820
Ho 0.683 0.377 0.820
Ho 0.817 0.623 0.320
Ho 0.817 0.877 0.320
Ho 0.852 0.250 0.488
Ho 0.971 0.598 0.817
Ho 0.971 0.902 0.817
Si 0.020 0.750 0.104
Si 0.146 0.540 0.472
Si 0.146 0.960 0.472
Si 0.234 0.250 0.373
Si 0.266 0.750 0.873
Si 0.354 0.040 0.972
Si 0.354 0.460 0.972
Si 0.480 0.250 0.604
Si 0.520 0.750 0.396
Si 0.646 0.540 0.028
Si 0.646 0.960 0.028
Si 0.734 0.250 0.127
Si 0.766 0.750 0.627
Si 0.854 0.040 0.528
Si 0.854 0.460 0.528
Si 0.980 0.250 0.896

(9)
Entry from Alexandria via LeMat-Bulk: a relaxed Ho5Si6 crystal (PBE-GGA).

Crystal system   orthorhombic
Formation energy without anion corrections   -0.77 eV/atom
Size of the total moment   0.00 Bohr magnetons per cell

Cell lengths 14.148, 14.148, 4.223 Å; angles 90.00, 90.00, 164.44 degrees
Fractional positions:
Ho 0.000 0.000 0.000
Ho 0.197 0.803 0.500
Ho 0.386 0.614 0.000
Ho 0.614 0.386 0.000
Ho 0.803 0.197 0.500
Si 0.094 0.906 0.500
Si 0.278 0.722 0.000
Si 0.459 0.541 0.500
Si 0.541 0.459 0.500
Si 0.722 0.278 0.000
Si 0.906 0.094 0.500

(10)
Entry from Alexandria via LeMat-Bulk: a relaxed Ho5Si crystal (PBE-GGA).

Crystal system   orthorhombic
Formation energy without anion corrections   -0.14 eV/atom
Size of the total moment   0.00 Bohr magnetons per cell

Cell lengths 4.655, 14.577, 4.742 Å; angles 90.00, 90.00, 90.00 degrees
Fractional positions:
Ho 0.000 0.000 0.000
Ho 0.000 0.156 0.500
Ho 0.000 0.337 0.000
Ho 0.000 0.663 0.000
Ho 0.000 0.844 0.500
Ho 0.500 0.163 0.000
Ho 0.500 0.344 0.500
Ho 0.500 0.500 0.000
Ho 0.500 0.656 0.500
Ho 0.500 0.837 0.000
Si 0.000 0.500 0.500
Si 0.500 0.000 0.500

(11)
Entry from Alexandria via LeMat-Bulk: a relaxed Ho4Si crystal (PBE-GGA).

Crystal system   cubic
Formation energy without anion corrections   0.02 eV/atom
Size of the total moment   0.27 Bohr magnetons per cell

Cell lengths 5.446, 5.446, 5.446 Å; angles 90.00, 90.00, 90.00 degrees
Fractional positions:
Ho 0.000 0.000 0.000
Ho 0.000 0.500 0.500
Ho 0.500 0.000 0.500
Ho 0.500 0.500 0.000
Si 0.500 0.500 0.500

(12)
Entry from Alexandria via LeMat-Bulk: a relaxed Ho10Si17 crystal (PBE-GGA).

Crystal system   orthorhombic
Formation energy without anion corrections   -0.67 eV/atom
Size of the total moment   0.00 Bohr magnetons per cell

Cell lengths 10.928, 10.928, 10.928 Å; angles 135.63, 58.05, 144.53 degrees
Fractional positions:
Ho 0.000 0.244 0.244
Ho 0.000 0.756 0.756
Ho 0.202 0.254 0.452
Ho 0.202 0.751 0.948
Ho 0.407 0.255 0.647
Ho 0.407 0.760 0.152
Ho 0.608 0.255 0.848
Ho 0.608 0.760 0.353
Ho 0.803 0.254 0.052
Ho 0.803 0.751 0.548
Si 0.085 0.207 0.878
Si 0.116 0.697 0.419
Si 0.137 0.836 0.301
Si 0.279 0.697 0.581
Si 0.320 0.320 0.000
Si 0.329 0.207 0.122
Si 0.415 0.614 0.801
Si 0.481 0.197 0.284
Si 0.535 0.836 0.699
Si 0.625 0.125 0.500
Si 0.671 0.671 0.000
Si 0.741 0.341 0.400
Si 0.745 0.849 0.895
Si 0.813 0.614 0.199
Si 0.913 0.197 0.716
Si 0.941 0.341 0.600
Si 0.954 0.849 0.105